(1)
Pr2AgSb4Pd3 (PBE, relaxed); SG = P-4m2 (115); calculated volume = 23.4 Å³ per atom; ρ = 8.47 Mg/m³; formation energy from raw total energies = -0.720 eV per atom; total energy = -5.1679 eV per atom
1.0
4.536 0.000 0.000
0.000 4.536 0.000
0.000 0.000 11.395
Pr Ag Sb Pd
2 1 4 3
direct
0.500 0.000 0.259
0.000 0.500 0.741
0.500 0.500 0.500
0.500 0.500 0.000
0.000 0.000 0.000
0.500 0.000 0.637
0.000 0.500 0.363
0.000 0.000 0.500
0.500 0.000 0.866
0.000 0.500 0.134

(2)
ErZnAu (PBE, relaxed); SG = I4mm (107); calculated volume = 20.4 Å³ per atom; ρ = 11.68 Mg/m³; total energy = -3.5873 eV per atom
1.0
-2.801 0.976 2.115
-1.798 -3.008 -0.993
4.170 -1.267 2.970
Zn Au Er
1 1 1
direct
0.274 0.274 0.549
0.624 0.624 0.248
0.951 0.951 0.903

(3)
MnIn2Ni (PBE, relaxed); SG = Imm2 (44); calculated volume = 18.1 Å³ per atom; ρ = 7.86 Mg/m³; total energy = -5.0027 eV per atom
1.0
-4.573 0.419 3.881
-5.453 -2.464 -0.583
5.980 -0.512 0.342
In Mn Ni
2 1 1
direct
0.040 0.040 0.000
0.751 0.251 0.500
0.449 0.449 0.000
0.260 0.760 0.500